Sc3CdSn after structural relaxation. Source: Alexandria via LeMat-Bulk, functional PBE-GGA.

energy relative to the lowest polymorph listed for this composition	0.000	eV per atom
ΔH_f (0 K)	-5.6	kJ per mole of atoms

Cell: 7.4322 7.4322 5.2344 Å, 90.00 90.00 120.00°
Space group P6_3/mmc (No. 194)
Symmetry-distinct sites (fractional):
Sc: 0.1981 0.3961 0.2500
Cd: 0.0000 0.0000 0.0000
Sn: 0.3333 0.6667 0.7500